Entry from Alexandria via LeMat-Bulk: a relaxed structure of BP2RhC (PBE).

The structure belongs to space group Cm (No. 8); the cell edges are 9.4558, 2.8540 and 4.7235 Å and the angles 90.00°, 110.94° and 90.00°. The inequivalent atoms are B at (0.0000, 0.0000, 0.0000), P at (0.1551, 0.0000, 0.4012), P at (0.3679, 0.0000, 0.3226), Rh at (0.0987, 0.5000, 0.7351) and C at (0.3459, 0.5000, 0.0722).

The value obtained for the energy relative to the elements is 0.039 eV/atom. The calculation puts the distance to the lowest polymorph of the same formula at 99 meV/atom. The total magnetic moment comes out at 0.00 μB/cell. The calculated total energy is -6.7757 eV/atom. The crystal system is monoclinic.